{
  "formula": "ScAg2As",
  "functional": "PBE",
  "state": "optimized geometry",
  "lattice_angstrom": [[0.0000, 3.3260, 3.3260], [3.3260, 0.0000, 3.3260], [3.3260, 3.3260, 0.0000]],
  "species": ["Sc", "Ag", "Ag", "As"],
  "frac_coords": [[0.0000, 0.0000, 0.0000], [0.2500, 0.2500, 0.2500], [0.5000, 0.5000, 0.5000], [0.7500, 0.7500, 0.7500]],
  "space_group": "F-43m (216)",
  "energy_ev_per_atom": -4.460
}